Entry from the Alexandria database: a relaxed Tb2DyY4Er2 crystal (PBE-GGA).

Cell lengths 3.5845, 9.4802, 9.5172 Å; angles 115.27, 90.00, 100.90 degrees
Last column: nearest neighbours and their distance in Å.
Atoms (fractional coordinates):
Tb1 0.8515 0.7029 0.3323  3 Er 3.52, 7 Y 3.53-3.59, 2 Tb 3.58
Tb2 0.1485 0.2971 0.6677  3 Er 3.52, 7 Y 3.53-3.59, 2 Tb 3.58
Dy1 0.0000 0.0000 0.0000  6 Y 3.53, 2 Dy 3.58, 4 Er 3.59
Y1 0.8146 0.6291 0.6674  2 Er 3.53, 1 Dy 3.53, 6 Y 3.53-3.59, 3 Tb 3.54-3.57
Y2 0.1854 0.3709 0.3326  2 Er 3.53, 1 Dy 3.53, 6 Y 3.53-3.59, 3 Tb 3.54-3.57
Y3 0.5187 0.0374 0.3337  5 Y 3.52-3.59, 2 Dy 3.53, 1 Er 3.53, 4 Tb 3.53-3.59
Y4 0.4813 0.9626 0.6663  5 Y 3.52-3.59, 2 Dy 3.53, 1 Er 3.53, 4 Tb 3.53-3.59
Er1 0.3331 0.6662 0.0005  3 Tb 3.52, 3 Y 3.53, 4 Er 3.57-3.58, 2 Dy 3.59
Er2 0.6669 0.3338 0.9995  3 Tb 3.52, 3 Y 3.53, 4 Er 3.57-3.58, 2 Dy 3.59

D(E_F) (states/eV per cell): 12.54
Space-group type: C2/m (12)
Calculated density (g/cm³): 6.80
Magnetization (μB per atom): 0.0000
ΔE_f (eV per atom): 0.00